i) Cd3InPd | PBE-GGA | relaxed Values from VASP.

Quantum ESPRESSO input file:
```
&SYSTEM
  ibrav = 0, nat = 5, ntyp = 3
/
ATOMIC_SPECIES
Cd 112.41 Cd.upf
In 114.82 In.upf
Pd 106.42 Pd.upf
CELL_PARAMETERS angstrom
5.215 0.000 0.000
0.000 5.215 0.000
0.000 0.000 5.215
ATOMIC_POSITIONS crystal
Cd 0.000 0.000 0.500
Cd 0.000 0.500 0.000
Cd 0.500 0.000 0.000
In 0.500 0.500 0.500
Pd 0.000 0.000 0.000
```


ii) Cd3InPd | PBE-GGA | relaxed Values from VASP.

Quantum ESPRESSO input file:
```
&SYSTEM
  ibrav = 0, nat = 10, ntyp = 3
/
ATOMIC_SPECIES
Cd 112.41 Cd.upf
In 114.82 In.upf
Pd 106.42 Pd.upf
CELL_PARAMETERS angstrom
5.318 -4.088 0.000
5.318 4.088 0.000
-4.467 0.000 5.577
ATOMIC_POSITIONS crystal
Cd 0.042 0.402 0.761
Cd 0.058 0.058 0.256
Cd 0.402 0.042 0.761
Cd 0.598 0.958 0.239
Cd 0.942 0.942 0.744
Cd 0.958 0.598 0.239
In 0.418 0.418 0.630
In 0.582 0.582 0.370
Pd 0.264 0.264 0.133
Pd 0.736 0.736 0.867
```


The most stable of them is ii).


i) CdIn2Pd8 | PBE-GGA | relaxed Values from VASP.

Quantum ESPRESSO input file:
```
&SYSTEM
  ibrav = 0, nat = 11, ntyp = 3
/
ATOMIC_SPECIES
Cd 112.41 Cd.upf
In 114.82 In.upf
Pd 106.42 Pd.upf
CELL_PARAMETERS angstrom
-2.073 3.780 6.092
2.073 -3.780 6.092
2.073 3.780 -6.092
ATOMIC_POSITIONS crystal
Cd 0.000 0.000 0.000
In 0.325 0.325 0.000
In 0.675 0.675 0.000
Pd 0.098 0.837 0.261
Pd 0.160 0.660 0.500
Pd 0.272 0.500 0.772
Pd 0.425 0.163 0.261
Pd 0.575 0.837 0.739
Pd 0.728 0.500 0.228
Pd 0.840 0.340 0.500
Pd 0.902 0.163 0.739
```


ii) CdIn2Pd8 | PBE-GGA | relaxed Values from VASP.

Quantum ESPRESSO input file:
```
&SYSTEM
  ibrav = 0, nat = 11, ntyp = 3
/
ATOMIC_SPECIES
Cd 112.41 Cd.upf
In 114.82 In.upf
Pd 106.42 Pd.upf
CELL_PARAMETERS angstrom
7.172 -2.071 0.000
7.172 2.071 0.000
-1.894 0.000 6.145
ATOMIC_POSITIONS crystal
Cd 0.000 0.000 0.000
In 0.279 0.279 0.342
In 0.721 0.721 0.658
Pd 0.094 0.094 0.460
Pd 0.178 0.178 0.912
Pd 0.357 0.357 0.806
Pd 0.460 0.460 0.276
Pd 0.540 0.540 0.724
Pd 0.643 0.643 0.194
Pd 0.822 0.822 0.088
Pd 0.906 0.906 0.540
```


The most stable of them is ii).


i) SrCd2InPd | PBE-GGA | relaxed Values from VASP.

Quantum ESPRESSO input file:
```
&SYSTEM
  ibrav = 0, nat = 5, ntyp = 4
/
ATOMIC_SPECIES
Sr 87.62 Sr.upf
Cd 112.41 Cd.upf
In 114.82 In.upf
Pd 106.42 Pd.upf
CELL_PARAMETERS angstrom
5.253 0.000 0.000
0.000 5.253 0.000
0.000 0.000 5.159
ATOMIC_POSITIONS crystal
Sr 0.000 0.000 0.000
Cd 0.000 0.500 0.500
Cd 0.500 0.000 0.500
In 0.500 0.500 0.000
Pd 0.500 0.500 0.500
```


ii) SrCd2InPd | PBE-GGA | relaxed Values from VASP.

Quantum ESPRESSO input file:
```
&SYSTEM
  ibrav = 0, nat = 5, ntyp = 4
/
ATOMIC_SPECIES
Sr 87.62 Sr.upf
Cd 112.41 Cd.upf
In 114.82 In.upf
Pd 106.42 Pd.upf
CELL_PARAMETERS angstrom
-2.235 2.255 6.391
2.235 -2.255 6.391
2.235 2.255 -6.391
ATOMIC_POSITIONS crystal
Sr 0.000 0.000 0.000
Cd 0.614 0.614 0.000
Cd 0.770 0.270 0.500
In 0.273 0.773 0.500
Pd 0.402 0.402 0.000
```


The most stable of them is ii).


i) Pm3CdIn2 | PBE-GGA | relaxed Values from VASP.

Quantum ESPRESSO input file:
```
&SYSTEM
  ibrav = 0, nat = 12, ntyp = 3
/
ATOMIC_SPECIES
Pm 145.00 Pm.upf
Cd 112.41 Cd.upf
In 114.82 In.upf
CELL_PARAMETERS angstrom
5.447 0.000 0.000
-2.723 4.717 0.000
0.000 0.000 13.316
ATOMIC_POSITIONS crystal
Pm 0.000 0.000 0.250
Pm 0.000 0.000 0.750
Pm 0.333 0.667 0.416
Pm 0.333 0.667 0.917
Pm 0.667 0.333 0.083
Pm 0.667 0.333 0.584
Cd 0.333 0.667 0.167
Cd 0.667 0.333 0.833
In 0.000 0.000 0.000
In 0.000 0.000 0.500
In 0.333 0.667 0.670
In 0.667 0.333 0.330
```


ii) Pm3CdIn2 | PBE-GGA | relaxed Values from VASP.

Quantum ESPRESSO input file:
```
&SYSTEM
  ibrav = 0, nat = 6, ntyp = 3
/
ATOMIC_SPECIES
Pm 145.00 Pm.upf
Cd 112.41 Cd.upf
In 114.82 In.upf
CELL_PARAMETERS angstrom
3.799 0.000 0.000
0.000 3.799 0.000
0.000 0.000 11.823
ATOMIC_POSITIONS crystal
Pm 0.000 0.000 0.000
Pm 0.000 0.000 0.337
Pm 0.000 0.000 0.663
Cd 0.500 0.500 0.500
In 0.500 0.500 0.171
In 0.500 0.500 0.829
```


The most stable of them is i).


i) Pm8CdIn2 | PBE-GGA | relaxed Values from VASP.

Quantum ESPRESSO input file:
```
&SYSTEM
  ibrav = 0, nat = 11, ntyp = 3
/
ATOMIC_SPECIES
Pm 145.00 Pm.upf
Cd 112.41 Cd.upf
In 114.82 In.upf
CELL_PARAMETERS angstrom
9.159 -2.654 0.000
9.159 2.654 0.000
-1.332 0.000 7.155
ATOMIC_POSITIONS crystal
Pm 0.030 0.030 0.244
Pm 0.183 0.183 0.767
Pm 0.337 0.337 0.565
Pm 0.406 0.406 0.051
Pm 0.594 0.594 0.949
Pm 0.663 0.663 0.435
Pm 0.817 0.817 0.233
Pm 0.970 0.970 0.756
Cd 0.500 0.500 0.500
In 0.206 0.206 0.213
In 0.794 0.794 0.787
```


ii) Pm8CdIn2 | PBE-GGA | relaxed Values from VASP.

Quantum ESPRESSO input file:
```
&SYSTEM
  ibrav = 0, nat = 11, ntyp = 3
/
ATOMIC_SPECIES
Pm 145.00 Pm.upf
Cd 112.41 Cd.upf
In 114.82 In.upf
CELL_PARAMETERS angstrom
-2.613 4.385 7.513
2.613 -4.385 7.513
2.613 4.385 -7.513
ATOMIC_POSITIONS crystal
Pm 0.121 0.342 0.779
Pm 0.141 0.141 0.000
Pm 0.316 0.000 0.316
Pm 0.438 0.658 0.779
Pm 0.562 0.342 0.221
Pm 0.684 0.000 0.684
Pm 0.859 0.859 0.000
Pm 0.879 0.658 0.221
Cd 0.000 0.500 0.500
In 0.305 0.805 0.500
In 0.695 0.195 0.500
```


The most stable of them is i).


i) Pm3Cd4In | PBE-GGA | relaxed Values from VASP.

Quantum ESPRESSO input file:
```
&SYSTEM
  ibrav = 0, nat = 8, ntyp = 3
/
ATOMIC_SPECIES
Pm 145.00 Pm.upf
Cd 112.41 Cd.upf
In 114.82 In.upf
CELL_PARAMETERS angstrom
-4.169 4.169 3.312
4.169 -4.169 3.312
4.169 4.169 -3.312
ATOMIC_POSITIONS crystal
Pm 0.000 0.000 0.000
Pm 0.250 0.750 0.500
Pm 0.750 0.250 0.500
Cd 0.263 0.263 0.526
Cd 0.263 0.737 0.000
Cd 0.737 0.263 0.000
Cd 0.737 0.737 0.474
In 0.500 0.500 0.000
```


ii) Pm3Cd4In | PBE-GGA | relaxed Values from VASP.

Quantum ESPRESSO input file:
```
&SYSTEM
  ibrav = 0, nat = 8, ntyp = 3
/
ATOMIC_SPECIES
Pm 145.00 Pm.upf
Cd 112.41 Cd.upf
In 114.82 In.upf
CELL_PARAMETERS angstrom
-1.848 5.023 6.191
1.848 -5.023 6.191
1.848 5.023 -6.191
ATOMIC_POSITIONS crystal
Pm 0.000 0.000 0.000
Pm 0.287 0.787 0.500
Pm 0.713 0.213 0.500
Cd 0.115 0.374 0.741
Cd 0.367 0.626 0.741
Cd 0.633 0.374 0.259
Cd 0.885 0.626 0.259
In 0.500 0.500 0.000
```


The most stable of them is ii).


i) Pm4CdIn2 | PBE-GGA | relaxed Values from VASP.

Quantum ESPRESSO input file:
```
&SYSTEM
  ibrav = 0, nat = 7, ntyp = 3
/
ATOMIC_SPECIES
Pm 145.00 Pm.upf
Cd 112.41 Cd.upf
In 114.82 In.upf
CELL_PARAMETERS angstrom
-2.945 2.945 6.604
2.945 -2.945 6.604
2.945 2.945 -6.604
ATOMIC_POSITIONS crystal
Pm 0.000 0.500 0.500
Pm 0.250 0.750 0.500
Pm 0.500 0.000 0.500
Pm 0.750 0.250 0.500
Cd 0.000 0.000 0.000
In 0.377 0.377 0.000
In 0.623 0.623 0.000
```


ii) Pm4CdIn2 | PBE-GGA | relaxed Values from VASP.

Quantum ESPRESSO input file:
```
&SYSTEM
  ibrav = 0, nat = 7, ntyp = 3
/
ATOMIC_SPECIES
Pm 145.00 Pm.upf
Cd 112.41 Cd.upf
In 114.82 In.upf
CELL_PARAMETERS angstrom
2.692 1.554 8.640
-2.692 1.554 8.640
0.000 -3.109 8.640
ATOMIC_POSITIONS crystal
Pm 0.118 0.118 0.118
Pm 0.371 0.371 0.371
Pm 0.629 0.629 0.629
Pm 0.882 0.882 0.882
Cd 0.500 0.500 0.500
In 0.247 0.247 0.247
In 0.753 0.753 0.753
```


The most stable of them is ii).


i) Pm2Cd3In2 | PBE-GGA | relaxed Values from VASP.

Quantum ESPRESSO input file:
```
&SYSTEM
  ibrav = 0, nat = 7, ntyp = 3
/
ATOMIC_SPECIES
Pm 145.00 Pm.upf
Cd 112.41 Cd.upf
In 114.82 In.upf
CELL_PARAMETERS angstrom
5.683 -2.394 0.000
5.683 2.394 0.000
-2.645 0.000 6.696
ATOMIC_POSITIONS crystal
Pm 0.151 0.151 0.264
Pm 0.849 0.849 0.736
Cd 0.401 0.401 0.070
Cd 0.500 0.500 0.500
Cd 0.599 0.599 0.930
In 0.150 0.150 0.733
In 0.850 0.850 0.267
```


ii) Pm2Cd3In2 | PBE-GGA | relaxed Values from VASP.

Quantum ESPRESSO input file:
```
&SYSTEM
  ibrav = 0, nat = 7, ntyp = 3
/
ATOMIC_SPECIES
Pm 145.00 Pm.upf
Cd 112.41 Cd.upf
In 114.82 In.upf
CELL_PARAMETERS angstrom
2.362 -11.160 0.000
2.362 11.160 0.000
0.000 0.000 3.508
ATOMIC_POSITIONS crystal
Pm 0.151 0.849 0.000
Pm 0.849 0.151 0.000
Cd 0.000 0.000 0.000
Cd 0.432 0.568 0.500
Cd 0.568 0.432 0.500
In 0.288 0.712 0.500
In 0.712 0.288 0.500
```


The most stable of them is i).


i) Pm2CdIn2 | PBE-GGA | relaxed Values from VASP.

Quantum ESPRESSO input file:
```
&SYSTEM
  ibrav = 0, nat = 10, ntyp = 3
/
ATOMIC_SPECIES
Pm 145.00 Pm.upf
Cd 112.41 Cd.upf
In 114.82 In.upf
CELL_PARAMETERS angstrom
5.756 -2.435 0.000
5.756 2.435 0.000
-4.850 0.000 10.016
ATOMIC_POSITIONS crystal
Pm 0.022 0.022 0.335
Pm 0.175 0.175 0.090
Pm 0.825 0.825 0.910
Pm 0.978 0.978 0.665
Cd 0.277 0.277 0.660
Cd 0.723 0.723 0.340
In 0.361 0.361 0.425
In 0.470 0.470 0.120
In 0.530 0.530 0.880
In 0.639 0.639 0.575
```


ii) Pm2CdIn2 | PBE-GGA | relaxed Values from VASP.

Quantum ESPRESSO input file:
```
&SYSTEM
  ibrav = 0, nat = 10, ntyp = 3
/
ATOMIC_SPECIES
Pm 145.00 Pm.upf
Cd 112.41 Cd.upf
In 114.82 In.upf
CELL_PARAMETERS angstrom
2.286 -9.229 0.000
2.286 9.229 0.000
0.000 0.000 6.502
ATOMIC_POSITIONS crystal
Pm 0.002 0.998 0.500
Pm 0.206 0.794 0.489
Pm 0.794 0.206 0.989
Pm 0.998 0.002 0.000
Cd 0.395 0.605 0.245
Cd 0.605 0.395 0.745
In 0.175 0.825 0.987
In 0.396 0.604 0.747
In 0.604 0.396 0.247
In 0.825 0.175 0.487
```


The most stable of them is i).


i) PmCdInSn | PBE-GGA | relaxed Values from VASP.

Quantum ESPRESSO input file:
```
&SYSTEM
  ibrav = 0, nat = 4, ntyp = 4
/
ATOMIC_SPECIES
Pm 145.00 Pm.upf
Cd 112.41 Cd.upf
In 114.82 In.upf
Sn 118.71 Sn.upf
CELL_PARAMETERS angstrom
4.553 0.000 0.000
0.000 4.663 0.000
0.000 0.000 4.833
ATOMIC_POSITIONS crystal
Pm 0.000 0.000 0.000
Cd 0.000 0.500 0.500
In 0.500 0.000 0.500
Sn 0.500 0.500 0.000
```


ii) PmCdInSn | PBE-GGA | relaxed Values from VASP.

Quantum ESPRESSO input file:
```
&SYSTEM
  ibrav = 0, nat = 4, ntyp = 4
/
ATOMIC_SPECIES
Pm 145.00 Pm.upf
Cd 112.41 Cd.upf
In 114.82 In.upf
Sn 118.71 Sn.upf
CELL_PARAMETERS angstrom
0.000 3.771 3.771
3.771 0.000 3.771
3.771 3.771 0.000
ATOMIC_POSITIONS crystal
Pm 0.000 0.000 0.000
Cd 0.500 0.500 0.500
In 0.250 0.250 0.250
Sn 0.750 0.750 0.750
```


The most stable of them is i).


i) SrPmCdIn | PBE-GGA | relaxed Values from VASP.

Quantum ESPRESSO input file:
```
&SYSTEM
  ibrav = 0, nat = 4, ntyp = 4
/
ATOMIC_SPECIES
Sr 87.62 Sr.upf
Pm 145.00 Pm.upf
Cd 112.41 Cd.upf
In 114.82 In.upf
CELL_PARAMETERS angstrom
3.902 0.000 0.000
0.000 3.902 0.000
0.000 0.000 8.101
ATOMIC_POSITIONS crystal
Sr 0.000 0.000 0.000
Pm 0.000 0.000 0.504
Cd 0.500 0.500 0.730
In 0.500 0.500 0.273
```


ii) SrPmCdIn | PBE-GGA | relaxed Values from VASP.

Quantum ESPRESSO input file:
```
&SYSTEM
  ibrav = 0, nat = 4, ntyp = 4
/
ATOMIC_SPECIES
Sr 87.62 Sr.upf
Pm 145.00 Pm.upf
Cd 112.41 Cd.upf
In 114.82 In.upf
CELL_PARAMETERS angstrom
0.000 3.947 3.947
3.947 0.000 3.947
3.947 3.947 0.000
ATOMIC_POSITIONS crystal
Sr 0.000 0.000 0.000
Pm 0.500 0.500 0.500
Cd 0.750 0.750 0.750
In 0.250 0.250 0.250
```


The most stable of them is i).


i) Pr4CdIn | PBE-GGA | relaxed Values from VASP.

Quantum ESPRESSO input file:
```
&SYSTEM
  ibrav = 0, nat = 6, ntyp = 3
/
ATOMIC_SPECIES
Pr 140.91 Pr.upf
Cd 112.41 Cd.upf
In 114.82 In.upf
CELL_PARAMETERS angstrom
6.771 -1.919 0.000
6.771 1.919 0.000
-2.201 0.000 7.394
ATOMIC_POSITIONS crystal
Pr 0.152 0.152 0.328
Pr 0.154 0.154 0.825
Pr 0.846 0.846 0.175
Pr 0.848 0.848 0.672
Cd 0.500 0.500 0.500
In 0.500 0.500 0.000
```


ii) Pr4CdIn | PBE-GGA | relaxed Values from VASP.

Quantum ESPRESSO input file:
```
&SYSTEM
  ibrav = 0, nat = 6, ntyp = 3
/
ATOMIC_SPECIES
Pr 140.91 Pr.upf
Cd 112.41 Cd.upf
In 114.82 In.upf
CELL_PARAMETERS angstrom
5.280 0.000 0.000
0.000 5.280 0.000
0.000 0.000 7.792
ATOMIC_POSITIONS crystal
Pr 0.000 0.500 0.248
Pr 0.000 0.500 0.752
Pr 0.500 0.000 0.248
Pr 0.500 0.000 0.752
Cd 0.000 0.000 0.000
In 0.500 0.500 0.500
```


The most stable of them is i).